The following is a PBE-GGA calculation of crystalline LiZrAl at its relaxed geometry, from the Alexandria database.

Summary:
The volume is 18.95 A^3/atom. For the total magnetic moment, the calculation gives 0.0 μB/f.u. Its energy relative to the lowest polymorph listed for this composition is 8 meV per atom. The density comes out at 3.65 g cm⁻³. For the formation energy, the calculation gives -0.2114 eV/atom. The calculation puts the density of states at the Fermi level at 7.34 states/eV per cell. As for the crystal system: monoclinic. The value obtained for the final energy is -4.946 eV per atom.

Cell lengths 15.6680, 2.9320, 5.0488 Å; angles 90.00, 101.28, 90.00 degrees
Space group C2/m (No. 12)
One atom of each set of equivalent atoms:
Li (0.2504, 0.0000, 0.2451)
Zr (0.0675, 0.0000, 0.7822)
Al (0.1031, 0.5000, 0.3076)